(1)
# RbNaAgBi, optimized geometry, DFT PBE
data_RbNaAgBi
_chemical_formula_sum 'Rb2 Na2 Ag2 Bi2'
_cell_length_a 6.267
_cell_length_b 6.651
_cell_length_c 6.651
_cell_angle_alpha 77.54
_cell_angle_beta 90.00
_cell_angle_gamma 90.00
_symmetry_space_group_name_H-M 'P 1'
_symmetry_Int_Tables_number 1
loop_
_symmetry_equiv_pos_as_xyz
'x,y,z'
loop_
_atom_site_label
_atom_site_type_symbol
_atom_site_fract_x
_atom_site_fract_y
_atom_site_fract_z
_atom_site_occupancy
Rb1 Rb 0.250 0.157 0.843 1
Rb2 Rb 0.750 0.843 0.157 1
Na1 Na 0.250 0.505 0.199 1
Na2 Na 0.750 0.199 0.505 1
Ag1 Ag 0.000 0.686 0.686 1
Ag2 Ag 0.500 0.686 0.686 1
Bi1 Bi 0.250 0.950 0.391 1
Bi2 Bi 0.750 0.391 0.950 1
# Symmetry: Ama2
# Energy above the lowest structure with this stoichiometry: 0.042 eV per atom


(2)
# RbNaAgBi, optimized geometry, DFT PBE
data_RbNaAgBi
_chemical_formula_sum 'Rb2 Na2 Ag2 Bi2'
_cell_length_a 6.137
_cell_length_b 6.736
_cell_length_c 6.736
_cell_angle_alpha 100.87
_cell_angle_beta 90.00
_cell_angle_gamma 90.00
_symmetry_space_group_name_H-M 'P 1'
_symmetry_Int_Tables_number 1
loop_
_symmetry_equiv_pos_as_xyz
'x,y,z'
loop_
_atom_site_label
_atom_site_type_symbol
_atom_site_fract_x
_atom_site_fract_y
_atom_site_fract_z
_atom_site_occupancy
Rb1 Rb 0.000 0.179 0.821 1
Rb2 Rb 0.000 0.821 0.179 1
Na1 Na 0.500 0.138 0.478 1
Na2 Na 0.500 0.478 0.138 1
Ag1 Ag 0.249 0.635 0.635 1
Ag2 Ag 0.751 0.635 0.635 1
Bi1 Bi 0.000 0.356 0.356 1
Bi2 Bi 0.500 0.908 0.908 1
# Symmetry: Amm2
# Energy above the lowest structure with this stoichiometry: 0.047 eV per atom


(3)
# RbNaAgBi, optimized geometry, DFT PBE
data_RbNaAgBi
_chemical_formula_sum 'Rb2 Na2 Ag2 Bi2'
_cell_length_a 6.299
_cell_length_b 6.045
_cell_length_c 7.240
_cell_angle_alpha 90.00
_cell_angle_beta 103.72
_cell_angle_gamma 90.00
_symmetry_space_group_name_H-M 'P 1'
_symmetry_Int_Tables_number 1
loop_
_symmetry_equiv_pos_as_xyz
'x,y,z'
loop_
_atom_site_label
_atom_site_type_symbol
_atom_site_fract_x
_atom_site_fract_y
_atom_site_fract_z
_atom_site_occupancy
Rb1 Rb 0.059 0.250 0.175 1
Rb2 Rb 0.941 0.750 0.825 1
Na1 Na 0.332 0.750 0.512 1
Na2 Na 0.668 0.250 0.488 1
Ag1 Ag 0.500 0.000 0.000 1
Ag2 Ag 0.500 0.500 0.000 1
Bi1 Bi 0.254 0.250 0.695 1
Bi2 Bi 0.746 0.750 0.305 1
# Symmetry: P2_1/m
# Energy above the lowest structure with this stoichiometry: 0.000 eV per atom


(4)
# Nb3AgBi5, optimized geometry, DFT PBE
data_Nb3AgBi5
_chemical_formula_sum 'Nb3 Ag1 Bi5'
_cell_length_a 5.798
_cell_length_b 5.798
_cell_length_c 8.726
_cell_angle_alpha 90.00
_cell_angle_beta 90.00
_cell_angle_gamma 120.00
_symmetry_space_group_name_H-M 'P 1'
_symmetry_Int_Tables_number 1
loop_
_symmetry_equiv_pos_as_xyz
'x,y,z'
loop_
_atom_site_label
_atom_site_type_symbol
_atom_site_fract_x
_atom_site_fract_y
_atom_site_fract_z
_atom_site_occupancy
Nb1 Nb 0.000 0.500 0.000 1
Nb2 Nb 0.500 0.000 0.000 1
Nb3 Nb 0.500 0.500 0.000 1
Ag1 Ag 0.000 0.000 0.500 1
Bi1 Bi 0.000 0.000 0.000 1
Bi2 Bi 0.333 0.667 0.292 1
Bi3 Bi 0.333 0.667 0.708 1
Bi4 Bi 0.667 0.333 0.292 1
Bi5 Bi 0.667 0.333 0.708 1
# Symmetry: P6/mmm
# Magnetic moment: 0.001 μB per atom


Number 1: total energy -2.544 eV/atom. Number 2: total energy -2.540 eV/atom. Number 3: total energy -2.587 eV/atom. Number 4: total energy -5.796 eV/atom.